Entry 1:
The following is a DFT calculation (PBE-GGA) of a relaxed structure of Cd8Ag3Hg2.

Lattice parameters (Å, degrees): 5.7297 5.7297 11.0873 75.03 75.03 60.00
Last column: nearest neighbours and their distance in Å.
Fractional positions:
1 Cd 0.2745 0.2745 0.1765  1 Hg 2.74, 1 Ag 2.80
2 Cd 0.7255 0.7255 0.8235  1 Hg 2.74, 1 Ag 2.80
3 Cd 0.7230 0.2237 0.3303  4 Cd 2.86-2.87, 3 Ag 2.93-3.09, 1 Hg 3.10
4 Cd 0.2770 0.2770 0.6697  4 Cd 2.86-2.87, 3 Ag 2.93-3.09, 1 Hg 3.10
5 Cd 0.7763 0.2770 0.6697  4 Cd 2.86-2.87, 3 Ag 2.93-3.09, 1 Hg 3.10
6 Cd 0.7230 0.7230 0.3303  4 Cd 2.86-2.87, 3 Ag 2.93-3.09, 1 Hg 3.10
7 Cd 0.2237 0.7230 0.3303  4 Cd 2.86-2.87, 3 Ag 2.93-3.09, 1 Hg 3.10
8 Cd 0.2770 0.7763 0.6697  4 Cd 2.86-2.87, 3 Ag 2.93-3.09, 1 Hg 3.10
9 Ag 0.1864 0.1864 0.4407  10 Cd 2.80-3.09
10 Ag 0.8136 0.8136 0.5593  10 Cd 2.80-3.09
11 Ag 0.0000 0.0000 0.0000  6 Hg 3.42, 6 Cd 3.80
12 Hg 0.6391 0.6391 0.0827  1 Cd 2.74
13 Hg 0.3609 0.3609 0.9173  1 Cd 2.74

Calculated values
Its space group is R-3m. The value obtained for the calculated volume is 300.9 Å³ per cell. The excess energy over the best structure of this formula in the dataset comes out at 0.071 eV/atom. The formation energy is 0.1012 eV/atom.

=====

Entry 2:
The following is a DFT calculation (PBE-GGA) of a relaxed structure of CdAg3Hg.

Lattice parameters (Å, degrees): 5.2025 5.2495 7.9102 83.61 108.18 109.31
Last column: nearest neighbours and their distance in Å.
Fractional positions:
1 Ag 0.4625 0.8442 0.2074  2 Cd 2.96-3.00, 7 Ag 2.97-3.03, 3 Hg 2.98-3.02
2 Ag 0.0613 0.8438 0.4055  3 Cd 2.94-3.01, 2 Hg 2.97-3.02, 7 Ag 2.97-3.03
3 Ag 0.5629 0.3444 0.4072  2 Cd 2.96-3.00, 7 Ag 2.98-3.03, 3 Hg 2.98-3.02
4 Ag 0.9641 0.3446 0.2091  3 Cd 2.94-3.01, 2 Hg 2.97-3.02, 7 Ag 2.98-3.03
5 Ag 0.7630 0.3446 0.8078  4 Hg 2.99-3.04, 4 Cd 3.01-3.06, 4 Ag 3.01-3.02
6 Ag 0.2629 0.8446 0.8067  4 Hg 2.99-3.04, 4 Cd 3.01-3.06, 4 Ag 3.01-3.02
7 Hg 0.3651 0.3440 0.0112  9 Ag 2.97-3.04, 3 Cd 3.02-3.09
8 Hg 0.6607 0.8450 0.6034  9 Ag 2.97-3.04, 3 Cd 3.02-3.09
9 Cd 0.8672 0.8442 0.0147  9 Ag 2.94-3.06, 3 Hg 3.02-3.09
10 Cd 0.1585 0.3447 0.5998  9 Ag 2.94-3.06, 3 Hg 3.02-3.09

Calculated values
Its space group is P-1. The value obtained for the calculated volume is 193.7 Å³ per cell. The excess energy over the best structure of this formula in the dataset comes out at 0.000 eV/atom. The formation energy is 0.0048 eV/atom.

=====

Entry 3:
The following is a DFT calculation (PBE-GGA) of a relaxed structure of CdAg3Hg.

Lattice parameters (Å, degrees): 5.2424 5.2424 5.2424 90.00 90.00 90.00
Last column: nearest neighbours and their distance in Å.
Fractional positions:
1 Hg 0.5000 0.5000 0.5000  12 Ag 3.71
2 Ag 0.0000 0.5000 0.0000  2 Cd 2.62
3 Ag 0.0000 0.0000 0.5000  2 Cd 2.62
4 Ag 0.5000 0.0000 0.0000  2 Cd 2.62
5 Cd 0.0000 0.0000 0.0000  6 Ag 2.62

Calculated values
Its space group is Pm-3m. The value obtained for the calculated volume is 144.1 Å³ per cell. The excess energy over the best structure of this formula in the dataset comes out at 0.585 eV/atom. The formation energy is 0.5900 eV/atom.

=====

Entry 4:
The following is a DFT calculation (PBE-GGA) of a relaxed structure of Cd6Ag2Hg.

Lattice parameters (Å, degrees): 4.9817 6.5897 6.5897 82.00 101.78 101.78
Last column: nearest neighbours and their distance in Å.
Fractional positions:
1 Cd 0.5969 0.1585 0.1585  2 Hg 2.87-2.97, 2 Ag 2.90-3.02, 5 Cd 2.93-3.08
2 Cd 0.2922 0.7768 0.3996  5 Cd 2.93-3.26, 3 Ag 3.01-3.14, 1 Hg 3.07
3 Cd 0.7078 0.2232 0.6004  5 Cd 2.93-3.26, 3 Ag 3.01-3.14, 1 Hg 3.07
4 Cd 0.2922 0.3996 0.7768  5 Cd 2.93-3.26, 3 Ag 3.01-3.14, 1 Hg 3.07
5 Cd 0.7078 0.6004 0.2232  5 Cd 2.93-3.26, 3 Ag 3.01-3.14, 1 Hg 3.07
6 Cd 0.4031 0.8415 0.8415  2 Hg 2.87-2.97, 2 Ag 2.90-3.02, 5 Cd 2.93-3.08
7 Ag 0.8276 0.6754 0.6754  8 Cd 2.90-3.14, 1 Hg 3.11
8 Ag 0.1724 0.3246 0.3246  8 Cd 2.90-3.14, 1 Hg 3.11
9 Hg 0.0000 0.0000 0.0000  8 Cd 2.87-3.07, 2 Ag 3.11

Calculated values
Its space group is C2/m. The value obtained for the calculated volume is 206.2 Å³ per cell. The excess energy over the best structure of this formula in the dataset comes out at 0.025 eV/atom. The formation energy is 0.0646 eV/atom.

=====

Entry 5:
The following is a DFT calculation (PBE-GGA) of a relaxed structure of Cd12Ag3Hg.

Lattice parameters (Å, degrees): 4.3487 4.3487 18.0563 90.00 90.00 90.00
Last column: nearest neighbours and their distance in Å.
Fractional positions:
1 Cd 0.5000 0.0000 0.1336  8 Cd 3.08-3.25, 2 Ag 3.10, 2 Hg 3.25
2 Cd 0.0000 0.5000 0.6221  8 Cd 3.08-3.10, 4 Ag 3.09-3.10
3 Cd 0.0000 0.5000 0.8664  8 Cd 3.08-3.25, 2 Ag 3.10, 2 Hg 3.25
4 Cd 0.5000 0.5000 0.2559  4 Ag 3.08, 8 Cd 3.10
5 Cd 0.5000 0.5000 0.0000  4 Hg 3.08, 8 Cd 3.25
6 Cd 0.0000 0.5000 0.1336  8 Cd 3.08-3.25, 2 Ag 3.10, 2 Hg 3.25
7 Cd 0.5000 0.0000 0.6221  8 Cd 3.08-3.10, 4 Ag 3.09-3.10
8 Cd 0.5000 0.0000 0.8664  8 Cd 3.08-3.25, 2 Ag 3.10, 2 Hg 3.25
9 Cd 0.5000 0.5000 0.7441  4 Ag 3.08, 8 Cd 3.10
10 Cd 0.5000 0.5000 0.5000  4 Ag 3.08, 8 Cd 3.10
11 Cd 0.5000 0.0000 0.3779  8 Cd 3.08-3.10, 4 Ag 3.09-3.10
12 Cd 0.0000 0.5000 0.3779  8 Cd 3.08-3.10, 4 Ag 3.09-3.10
13 Hg 0.0000 0.0000 0.0000  12 Cd 3.08-3.25
14 Ag 0.0000 0.0000 0.7438  12 Cd 3.08-3.10
15 Ag 0.0000 0.0000 0.5000  12 Cd 3.08-3.10
16 Ag 0.0000 0.0000 0.2562  12 Cd 3.08-3.10

Calculated values
Its space group is P4/mmm. The value obtained for the calculated volume is 341.5 Å³ per cell. The formation energy is 0.0001 eV/atom.

=====

Entry 6:
The following is a DFT calculation (PBE-GGA) of a relaxed structure of CdAg14Hg.

Lattice parameters (Å, degrees): 5.9170 5.9170 9.6486 90.00 90.00 119.86
Last column: nearest neighbours and their distance in Å.
Fractional positions:
1 Ag 0.5422 0.9583 0.5000  2 Hg 2.95-2.96, 2 Cd 2.96, 8 Ag 2.96-2.99
2 Ag 0.7080 0.7917 0.0000  12 Ag 2.92-2.97
3 Ag 0.8764 0.6252 0.2453  10 Ag 2.92-2.99, 1 Cd 2.99, 1 Hg 3.00
4 Ag 0.2083 0.2920 0.0000  12 Ag 2.92-2.97
5 Ag 0.3748 0.1236 0.2453  10 Ag 2.92-2.99, 1 Cd 2.99, 1 Hg 3.00
6 Ag 0.3738 0.6262 0.2466  11 Ag 2.92-2.98, 1 Hg 2.99
7 Ag 0.0417 0.4578 0.5000  2 Hg 2.95-2.96, 2 Cd 2.96, 8 Ag 2.96-2.99
8 Ag 0.3738 0.6262 0.7534  11 Ag 2.92-2.98, 1 Hg 2.99
9 Ag 0.2081 0.7919 0.0000  12 Ag 2.92-2.96
10 Ag 0.3748 0.1236 0.7547  10 Ag 2.92-2.99, 1 Cd 2.99, 1 Hg 3.00
11 Ag 0.8744 0.1256 0.7527  11 Ag 2.93-2.98, 1 Cd 2.98
12 Ag 0.7082 0.2918 0.0000  12 Ag 2.92-2.96
13 Ag 0.8744 0.1256 0.2473  11 Ag 2.93-2.98, 1 Cd 2.98
14 Ag 0.8764 0.6252 0.7547  10 Ag 2.92-2.99, 1 Cd 2.99, 1 Hg 3.00
15 Cd 0.0421 0.9579 0.5000  10 Ag 2.96-2.99, 2 Hg 2.96
16 Hg 0.5424 0.4576 0.5000  10 Ag 2.95-3.00, 2 Cd 2.96

Calculated values
Its space group is Amm2. The value obtained for the calculated volume is 293.0 Å³ per cell. The formation energy is 0.0169 eV/atom.

=====

Here are the calculated M_tot numbers, same order: 0.000 0.000 0.000 0.000 0.000 0.000 (μB per atom).